Sr2MnOs, relaxed, DFT PBE-GGA; space group = F-43m, No. 216; polymorph energy (0 for the lowest one) = 601.7 meV per atom; uncorrected energy = -5.103 eV/atom; calculated volume = 95 Å³ per cell; M_tot = 1.1924 μB per atom; Fermi-level density of states = 0.42 states/eV/atom; formation enthalpy at 0 K = 838 meV/atom
1.0
0.0000 3.6167 3.6167
3.6167 0.0000 3.6167
3.6167 3.6167 0.0000
Sr Mn Os
2 1 1
direct
0.0000 0.0000 0.0000
0.2500 0.2500 0.2500
0.5000 0.5000 0.5000
0.7500 0.7500 0.7500